LiFe2F6 | PBE+U | relaxed

Summary:
- energy relative to the lowest polymorph listed for this composition (eV/atom) = 0.000
- total magnetic moment (μB per formula unit) = 9.000

Cell: 4.7501 4.7501 9.4178 Å, 90.00 90.00 90.00°
With the nearest neighbours (Å) after each atom.
Atoms (fractional coordinates):
Li  0.0000  0.0000  0.6650  6 F 2.05-2.12
Li  0.5000  0.5000  0.1650  6 F 2.05-2.12
Fe  0.0000  0.0000  0.3351  6 F 2.06-2.13
Fe  0.5000  0.5000  0.8351  6 F 2.06-2.13
Fe  0.0000  0.0000  0.0016  6 F 1.96-1.98
Fe  0.5000  0.5000  0.5016  6 F 1.96-1.98
F  0.6953  0.6953  0.6568  2 Fe 1.96-2.13, 1 Li 2.05
F  0.8047  0.1953  0.1568  2 Fe 1.96-2.13, 1 Li 2.05
F  0.1953  0.8047  0.1568  2 Fe 1.96-2.13, 1 Li 2.05
F  0.3047  0.3047  0.6568  2 Fe 1.96-2.13, 1 Li 2.05
F  0.2913  0.2913  0.0031  2 Fe 1.96-2.11, 1 Li 2.07
F  0.2087  0.7913  0.5031  2 Fe 1.96-2.11, 1 Li 2.07
F  0.7913  0.2087  0.5031  2 Fe 1.96-2.11, 1 Li 2.07
F  0.7087  0.7087  0.0031  2 Fe 1.96-2.11, 1 Li 2.07
F  0.3063  0.3063  0.3428  2 Fe 1.98-2.06, 1 Li 2.12
F  0.1937  0.8063  0.8428  2 Fe 1.98-2.06, 1 Li 2.12
F  0.8063  0.1937  0.8428  2 Fe 1.98-2.06, 1 Li 2.12
F  0.6937  0.6937  0.3428  2 Fe 1.98-2.06, 1 Li 2.12